Entry 1:
VASP calculation (GGA-PBE) on an optimized crystal structure of NbCo2Mo.

a b c (Å): 4.256 4.256 4.256
angles (deg): 60.00 60.00 60.00
Last column: magnetic moment on the atom in μB.
Fractional coordinates of all 4 atoms:
Co  0.500  0.500  0.500  0.03
Mo  0.000  0.000  0.000  0.04
Nb  0.250  0.250  0.250  0.04
Co  0.750  0.750  0.750  0.13

Computed properties:
- total energy (eV per cell) = -34.4

Entry 2:
VASP calculation (GGA-PBE) on an optimized crystal structure of NbCoMo2.

a b c (Å): 4.416 4.416 4.416
angles (deg): 60.00 60.00 60.00
Fractional coordinates of all 4 atoms:
Co  0.250  0.250  0.250
Mo  0.750  0.750  0.750
Nb  0.500  0.500  0.500
Mo  0.000  0.000  0.000

Computed properties:
- total energy (eV per cell) = -38.6

Entry 3:
VASP calculation (GGA-PBE) on an optimized crystal structure of NbCoMoPb.

a b c (Å): 4.567 4.567 4.567
angles (deg): 60.00 60.00 60.00
Fractional coordinates of all 4 atoms:
Nb  0.500  0.500  0.500
Co  0.750  0.750  0.750
Mo  0.250  0.250  0.250
Pb  0.000  0.000  0.000

Computed properties:
- total energy (eV per cell) = -30.1

Entry 4:
VASP calculation (GGA-PBE) on an optimized crystal structure of NbCoSiMo.

a b c (Å): 4.307 4.307 4.307
angles (deg): 60.00 60.00 60.00
Fractional coordinates of all 4 atoms:
Nb  0.500  0.500  0.500
Mo  0.250  0.250  0.250
Co  0.750  0.750  0.750
Si  0.000  0.000  0.000

Computed properties:
- total energy (eV per cell) = -34.1

Entry 5:
VASP calculation (GGA-PBE) on an optimized crystal structure of NbCoSnMo.

a b c (Å): 4.505 4.505 4.505
angles (deg): 60.00 60.00 60.00
Fractional coordinates of all 4 atoms:
Sn  0.000  0.000  0.000
Nb  0.500  0.500  0.500
Co  0.750  0.750  0.750
Mo  0.250  0.250  0.250

Computed properties:
- total energy (eV per cell) = -31.8

Entry 6:
VASP calculation (GGA-PBE) on an optimized crystal structure of NbTlCoMo.

a b c (Å): 4.546 4.546 4.546
angles (deg): 60.00 60.00 60.00
Last column: magnetic moment on the atom in μB.
Fractional coordinates of all 4 atoms:
Tl  0.000  0.000  0.000  0.00
Mo  0.250  0.250  0.250  0.42
Co  0.750  0.750  0.750  0.54
Nb  0.500  0.500  0.500  -0.10

Computed properties:
- total energy (eV per cell) = -28.5

Entry 7:
VASP calculation (GGA-PBE) on an optimized crystal structure of NbZnCoMo.

a b c (Å): 4.367 4.367 4.367
angles (deg): 60.00 60.00 60.00
Fractional coordinates of all 4 atoms:
Co  0.750  0.750  0.750
Nb  0.500  0.500  0.500
Zn  0.000  0.000  0.000
Mo  0.250  0.250  0.250

Computed properties:
- total energy (eV per cell) = -28.5

Entry 8:
VASP calculation (GGA-PBE) on an optimized crystal structure of CoNiMoPb.

a b c (Å): 4.412 4.412 4.412
angles (deg): 60.00 60.00 60.00
Fractional coordinates of all 4 atoms:
Co  0.500  0.500  0.500
Ni  0.750  0.750  0.750
Pb  0.000  0.000  0.000
Mo  0.250  0.250  0.250

Computed properties:
- total energy (eV per cell) = -24.9

Entry 9:
VASP calculation (GGA-PBE) on an optimized crystal structure of CoNiMoPb.

a b c (Å): 4.384 4.384 4.384
angles (deg): 60.00 60.00 60.00
Fractional coordinates of all 4 atoms:
Co  0.750  0.750  0.750
Pb  0.000  0.000  0.000
Mo  0.500  0.500  0.500
Ni  0.250  0.250  0.250

Computed properties:
- total energy (eV per cell) = -25.3

Entry 10:
VASP calculation (GGA-PBE) on an optimized crystal structure of TlCoNiMo.

a b c (Å): 4.351 4.351 4.351
angles (deg): 60.00 60.00 60.00
Fractional coordinates of all 4 atoms:
Co  0.750  0.750  0.750
Mo  0.500  0.500  0.500
Tl  0.000  0.000  0.000
Ni  0.250  0.250  0.250

Computed properties:
- total energy (eV per cell) = -24.1

Entry 11:
VASP calculation (GGA-PBE) on an optimized crystal structure of TlCoNiMo.

a b c (Å): 4.378 4.378 4.378
angles (deg): 60.00 60.00 60.00
Fractional coordinates of all 4 atoms:
Mo  0.250  0.250  0.250
Ni  0.750  0.750  0.750
Co  0.500  0.500  0.500
Tl  0.000  0.000  0.000

Computed properties:
- total energy (eV per cell) = -23.5

Entry 12:
VASP calculation (GGA-PBE) on an optimized crystal structure of ZnCoNiMo.

a b c (Å): 4.153 4.153 4.153
angles (deg): 60.00 60.00 60.00
Fractional coordinates of all 4 atoms:
Ni  0.500  0.500  0.500
Zn  0.000  0.000  0.000
Co  0.750  0.750  0.750
Mo  0.250  0.250  0.250

Computed properties:
- total energy (eV per cell) = -24.0